Record 1
Below is crystalline CoSb2Ru at its relaxed geometry, with properties calculated at the GGA-PBE level.

The structure belongs to space group Imm2 (No. 44); the cell edges are 3.113, 4.062 and 13.198 Å and the angles 90.00°, 90.00° and 90.00°. The inequivalent atoms are Co at (0.000, 0.000, 0.000), Sb at (0.000, 0.000, 0.557), Sb at (0.000, 0.500, 0.311) and Ru at (0.000, 0.500, 0.881).

The energy above the most stable polymorph in this dataset is 171.0 meV per atom. As for the size of the total moment: 0.29 μB per atom.

***

Record 2
Below is crystalline CoSb2Ru at its relaxed geometry, with properties calculated at the GGA-PBE level.

The structure belongs to space group F-43m (No. 216); the cell edges are 6.650, 6.650 and 6.650 Å and the angles 90.00°, 90.00° and 90.00°. The inequivalent atoms are Co at (0.000, 0.000, 0.000), Sb at (0.000, 0.000, 0.500), Sb at (0.250, 0.250, 0.750) and Ru at (0.250, 0.250, 0.250).

The energy above the most stable polymorph in this dataset is 652.4 meV per atom. As for the size of the total moment: 0.55 μB per atom.

***

Question: Among the records above, which one has the lowest size of the total moment?
Answer: number 1

***

Question: Among the records above, which one has the lowest size of the total moment?
Answer: number 1